The following is a DFT calculation (PBE) of a geometry-optimized BeCrGe2W structure.

Lattice parameters (Å, degrees): 4.8721 4.7712 4.8721 90.00 90.00 90.00
Closest atoms and distances in Å follow each position.
Fractional coordinates of all 5 atoms:
1 Cr 0.0000 0.5000 0.0000  2 W 2.39
2 Ge 0.0000 0.0000 0.5000  2 W 2.44
3 Ge 0.5000 0.0000 0.0000  2 W 2.44
4 W 0.0000 0.0000 0.0000  2 Cr 2.39, 4 Ge 2.44
5 Be 0.5000 0.5000 0.5000  8 Ge 3.41, 4 Cr 3.45

Properties
Formation energy from the elements in eV/atom: 1.306
Volume in Å³/atom: 22.65